Computed, not measured: a geometry-optimized Li3CoO3 structure at the PBE+U level of DFT.

The structure belongs to space group P4_2/mnm (No. 136); the cell edges are 8.8060, 8.8060 and 3.6301 Å and the angles 90.00°, 90.00° and 90.00°. The inequivalent atoms are Li at (0.1024, 0.3577, 0.0000), Li at (0.1653, 0.1653, 0.5000), Co at (0.1153, 0.8847, 0.0000), O at (0.1007, 0.1007, 0.0000) and O at (0.1130, 0.6779, 0.0000).

The value obtained for the total energy is -0.38649 Ry/atom. For the polymorph energy (0 for the lowest one), the calculation gives 0 meV/atom. Its crystal system is tetragonal.